The following is a PBE calculation of LiUIn2Te4 after structural relaxation, from Alexandria.

The structure in extended XYZ format:
```
8
Lattice="7.490 0.000 0.000 0.000 4.382 0.000 -2.435 0.000 7.825" Properties=species:S:1:pos:R:3 pbc="T T T"
Li 0.000 0.000 0.000
U 3.745 2.191 0.000
In -1.217 2.191 3.912
In 2.528 0.000 3.912
Te 1.357 2.191 1.780
Te 0.077 0.000 6.084
Te 4.979 0.000 1.741
Te 3.698 2.191 6.045
```

Computed properties:
**E**: -4.3977 eV per atom
**Calculated volume**: 32.10 Å³ per atom
**Total magnetization**: 1.74 μB/f.u.
**SG**: P2/m, No. 10



The following is a PBE calculation of LiU2In3Te6 after structural relaxation, from Alexandria.

The structure in extended XYZ format:
```
12
Lattice="3.788 -6.564 0.000 3.788 6.564 0.000 -2.494 0.000 8.118" Properties=species:S:1:pos:R:3 pbc="T T T"
Li 0.000 0.000 0.000
U 3.788 2.197 0.000
U 3.788 -2.197 0.000
In 2.541 4.411 4.059
In 2.541 0.000 4.059
In 2.541 -4.411 4.059
Te 1.305 2.253 1.792
Te 0.077 0.000 6.389
Te 1.305 -2.253 1.792
Te 3.777 2.253 6.327
Te 5.005 0.000 1.729
Te 3.777 -2.253 6.327
```

Computed properties:
**E**: -4.8044 eV per atom
**Calculated volume**: 33.65 Å³ per atom
**Total magnetization**: 4.01 μB/f.u.
**SG**: C2/m, No. 12



The following is a PBE calculation of LiY3In4Te8 after structural relaxation, from Alexandria.

The structure in extended XYZ format:
```
16
Lattice="4.417 2.550 7.665 -4.417 2.550 7.665 0.000 -5.100 7.665" Properties=species:S:1:pos:R:3 pbc="T T T"
Li 0.000 0.000 0.000
Y -2.208 -1.275 7.665
Y -2.208 1.275 15.331
Y 0.000 2.550 7.665
In -4.417 0.000 11.498
In -2.208 1.275 3.833
In 2.208 1.275 3.833
In 0.000 0.000 11.498
Te 0.000 -2.498 9.451
Te -2.163 1.249 9.451
Te 0.000 0.000 5.914
Te -2.163 -1.249 13.545
Te 2.163 1.249 9.451
Te 0.000 0.000 17.082
Te 2.163 -1.249 13.545
Te 0.000 2.498 13.545
```

Computed properties:
**E**: -4.4299 eV per atom
**Calculated volume**: 32.38 Å³ per atom
**Total magnetization**: 0.00 μB/f.u.
**SG**: R-3m, No. 166



The following is a PBE calculation of LiY2InTe after structural relaxation, from Alexandria.

The structure in extended XYZ format:
```
5
Lattice="5.721 0.000 0.000 0.000 5.721 0.000 0.000 0.000 4.769" Properties=species:S:1:pos:R:3 pbc="T T T"
Li 0.000 0.000 0.000
Y 0.000 2.860 2.385
Y 2.860 0.000 2.385
In 2.860 2.860 0.000
Te 0.000 0.000 2.385
```

Computed properties:
**E**: -4.4752 eV per atom
**Calculated volume**: 31.22 Å³ per atom
**Total magnetization**: 0.00 μB/f.u.
**SG**: P4/mmm, No. 123



The following is a PBE calculation of LiY2InTe4 after structural relaxation, from Alexandria.

The structure in extended XYZ format:
```
16
Lattice="2.217 -7.399 0.000 2.217 7.399 0.000 0.000 0.000 15.613" Properties=species:S:1:pos:R:3 pbc="T T T"
Li 2.217 5.001 11.710
Li 2.217 -5.001 3.903
Y 2.217 1.984 1.001
Y 2.217 1.984 6.805
Y 2.217 -1.984 8.808
Y 2.217 -1.984 14.612
In 2.217 5.746 3.903
In 2.217 -5.746 11.710
Te 0.000 0.000 0.000
Te 0.000 0.000 7.806
Te 2.217 3.398 9.542
Te 2.217 3.398 13.877
Te 2.217 0.857 3.903
Te 2.217 -0.857 11.710
Te 2.217 -3.398 1.736
Te 2.217 -3.398 6.071
```

Computed properties:
**E**: -4.8754 eV per atom
**Calculated volume**: 32.01 Å³ per atom
**Total magnetization**: 0.00 μB/f.u.
**SG**: Cmcm, No. 63



The following is a PBE calculation of LiZn2InTe4 after structural relaxation, from Alexandria.

The structure in extended XYZ format:
```
8
Lattice="-3.149 3.149 6.351 3.149 -3.149 6.351 3.149 3.149 -6.351" Properties=species:S:1:pos:R:3 pbc="T T T"
Li 0.000 0.000 0.000
Zn 3.149 0.000 3.175
Zn 0.000 3.149 3.175
In 0.000 0.000 6.351
Te 1.621 -1.621 4.684
Te 1.528 1.528 1.667
Te -1.621 1.621 4.684
Te 1.621 1.621 8.018
```

Computed properties:
**E**: -3.0130 eV per atom
**Calculated volume**: 31.50 Å³ per atom
**Total magnetization**: 0.00 μB/f.u.
**SG**: I-42m, No. 121